# 1
# Al2VNi2 (PBE, relaxed)
data_Al2VNi2
_chemical_formula_sum 'Al4 V2 Ni4'
_cell_length_a 6.978
_cell_length_b 6.978
_cell_length_c 2.630
_cell_angle_alpha 90.00
_cell_angle_beta 90.00
_cell_angle_gamma 90.00
_space_group_name_H-M_alt 'P 4/m b m'
_space_group_IT_number 127
_space_group_name_Hall '-P 4 2ab'
loop_
_atom_site_label
_atom_site_fract_x
_atom_site_fract_y
_atom_site_fract_z
Al1 0.165 0.335 0.000
V1 0.000 0.000 0.500
Ni1 0.132 0.632 0.500
# DFT formation energy	-0.36	eV/atom
# volume	128	Å³ per cell
# energy above the most stable polymorph in this dataset	0	meV per atom
# uncorrected energy	-59.9	eV per cell

---

# 2
# AlV2Ni2 (PBE, relaxed)
data_AlV2Ni2
_chemical_formula_sum 'Al2 V4 Ni4'
_cell_length_a 6.713
_cell_length_b 6.713
_cell_length_c 2.870
_cell_angle_alpha 90.00
_cell_angle_beta 90.00
_cell_angle_gamma 90.00
_space_group_name_H-M_alt 'P 4/m b m'
_space_group_IT_number 127
_space_group_name_Hall '-P 4 2ab'
loop_
_atom_site_label
_atom_site_fract_x
_atom_site_fract_y
_atom_site_fract_z
Al1 0.000 0.000 0.000
V1 0.171 0.329 0.500
Ni1 0.126 0.626 0.000
# DFT formation energy	-0.17	eV/atom
# volume	129	Å³ per cell
# uncorrected energy	-68.8	eV per cell

---

# 3
# AlVZnNi (PBE, relaxed)
data_AlVZnNi
_chemical_formula_sum 'Al4 V4 Zn4 Ni4'
_cell_length_a 5.966
_cell_length_b 5.966
_cell_length_c 5.966
_cell_angle_alpha 90.00
_cell_angle_beta 90.00
_cell_angle_gamma 90.00
_space_group_name_H-M_alt 'F -4 3 m'
_space_group_IT_number 216
_space_group_name_Hall 'F -4 2 3'
loop_
_atom_site_label
_atom_site_fract_x
_atom_site_fract_y
_atom_site_fract_z
Al1 0.000 0.000 0.000
V1 0.000 0.000 0.500
Zn1 0.250 0.250 0.750
Ni1 0.250 0.250 0.250
# DFT formation energy	-0.14	eV/atom
# volume	212	Å³ per cell
# uncorrected energy	-82.0	eV per cell

---

# 4
# Zr2AlVNi (PBE, relaxed)
data_Zr2AlVNi
_chemical_formula_sum 'Zr2 Al1 V1 Ni1'
_cell_length_a 5.035
_cell_length_b 5.035
_cell_length_c 4.180
_cell_angle_alpha 90.00
_cell_angle_beta 90.00
_cell_angle_gamma 90.00
_space_group_name_H-M_alt 'P 4/m m m'
_space_group_IT_number 123
_space_group_name_Hall '-P 4 2'
loop_
_atom_site_label
_atom_site_fract_x
_atom_site_fract_y
_atom_site_fract_z
Zr1 0.000 0.500 0.000
Al1 0.000 0.000 0.000
V1 0.500 0.500 0.500
Ni1 0.000 0.000 0.500
# DFT formation energy	0.81	eV/atom
# volume	106	Å³ per cell
# uncorrected energy	-31.7	eV per cell

---

# 5
# AlNiW2 (PBE, relaxed)
data_AlNiW2
_chemical_formula_sum 'Al1 Ni1 W2'
_cell_length_a 2.734
_cell_length_b 2.734
_cell_length_c 7.706
_cell_angle_alpha 90.00
_cell_angle_beta 90.00
_cell_angle_gamma 90.00
_space_group_name_H-M_alt 'P 4/m m m'
_space_group_IT_number 123
_space_group_name_Hall '-P 4 2'
loop_
_atom_site_label
_atom_site_fract_x
_atom_site_fract_y
_atom_site_fract_z
Al1 0.000 0.000 0.000
Ni1 0.000 0.000 0.500
W1 0.500 0.500 0.263
# DFT formation energy	0.03	eV/atom
# volume	58	Å³ per cell
# uncorrected energy	-35.3	eV per cell

---

# 6
# Al2NiW (PBE, relaxed)
data_Al2NiW
_chemical_formula_sum 'Al8 Ni4 W4'
_cell_length_a 6.115
_cell_length_b 6.115
_cell_length_c 6.115
_cell_angle_alpha 90.00
_cell_angle_beta 90.00
_cell_angle_gamma 90.00
_space_group_name_H-M_alt 'F -4 3 m'
_space_group_IT_number 216
_space_group_name_Hall 'F -4 2 3'
loop_
_atom_site_label
_atom_site_fract_x
_atom_site_fract_y
_atom_site_fract_z
Al1 0.000 0.000 0.000
Al2 0.250 0.250 0.250
Ni1 0.000 0.000 0.500
W1 0.250 0.250 0.750
# DFT formation energy	0.12	eV/atom
# volume	229	Å³ per cell
# energy above the most stable polymorph in this dataset	413	meV per atom
# uncorrected energy	-102.9	eV per cell

---

# 7
# AlNi2W2 (PBE, relaxed)
data_AlNi2W2
_chemical_formula_sum 'Al2 Ni4 W4'
_cell_length_a 3.753
_cell_length_b 3.753
_cell_length_c 10.965
_cell_angle_alpha 90.00
_cell_angle_beta 90.00
_cell_angle_gamma 90.00
_space_group_name_H-M_alt 'I 4/m m m'
_space_group_IT_number 139
_space_group_name_Hall '-I 4 2'
loop_
_atom_site_label
_atom_site_fract_x
_atom_site_fract_y
_atom_site_fract_z
Al1 0.000 0.000 0.000
Ni1 0.000 0.000 0.403
W1 0.000 0.500 0.250
# DFT formation energy	0.40	eV/atom
# volume	154	Å³ per cell
# uncorrected energy	-78.4	eV per cell

---

# 8
# AlNiW2 (PBE, relaxed)
data_AlNiW2
_chemical_formula_sum 'Al3 Ni3 W6'
_cell_length_a 2.7744
_cell_length_b 2.7744
_cell_length_c 26.6247
_cell_angle_alpha 90.00
_cell_angle_beta 90.00
_cell_angle_gamma 120.00
_space_group_name_H-M_alt 'R -3 m'
_space_group_IT_number 166
_space_group_name_Hall '-R 3 2"'
loop_
_atom_site_label
_atom_site_fract_x
_atom_site_fract_y
_atom_site_fract_z
Al1 0.0000 0.0000 0.0000
Ni1 0.0000 0.0000 0.5000
W1 0.0000 0.0000 0.2467
# DFT formation energy	0.16	eV/atom
# volume	177	Å³ per cell
# uncorrected energy	-104.4	eV per cell

---

# 9
# AlNiW2 (PBE, relaxed)
data_AlNiW2
_chemical_formula_sum 'Al1 Ni1 W2'
_cell_length_a 3.718
_cell_length_b 3.718
_cell_length_c 4.212
_cell_angle_alpha 90.00
_cell_angle_beta 90.00
_cell_angle_gamma 90.00
_space_group_name_H-M_alt 'P 4/m m m'
_space_group_IT_number 123
_space_group_name_Hall '-P 4 2'
loop_
_atom_site_label
_atom_site_fract_x
_atom_site_fract_y
_atom_site_fract_z
Al1 0.000 0.000 0.000
Ni1 0.500 0.500 0.000
W1 0.000 0.500 0.500
# DFT formation energy	-0.02	eV/atom
# volume	58	Å³ per cell
# uncorrected energy	-35.5	eV per cell

---

# 10
# Al2Ni2W (PBE, relaxed)
data_Al2Ni2W
_chemical_formula_sum 'Al4 Ni4 W2'
_cell_length_a 7.020
_cell_length_b 7.020
_cell_length_c 2.656
_cell_angle_alpha 90.00
_cell_angle_beta 90.00
_cell_angle_gamma 90.00
_space_group_name_H-M_alt 'P 4/m b m'
_space_group_IT_number 127
_space_group_name_Hall '-P 4 2ab'
loop_
_atom_site_label
_atom_site_fract_x
_atom_site_fract_y
_atom_site_fract_z
Al1 0.139 0.361 0.000
Ni1 0.158 0.658 0.500
W1 0.000 0.000 0.000
# DFT formation energy	-0.24	eV/atom
# volume	131	Å³ per cell
# energy above the most stable polymorph in this dataset	23	meV per atom
# uncorrected energy	-66.4	eV per cell

---

# 11
# Al2NiW (PBE, relaxed)
data_Al2NiW
_chemical_formula_sum 'Al2 Ni1 W1'
_cell_length_a 4.367
_cell_length_b 4.367
_cell_length_c 2.942
_cell_angle_alpha 90.00
_cell_angle_beta 90.00
_cell_angle_gamma 90.00
_space_group_name_H-M_alt 'P 4/m m m'
_space_group_IT_number 123
_space_group_name_Hall '-P 4 2'
loop_
_atom_site_label
_atom_site_fract_x
_atom_site_fract_y
_atom_site_fract_z
Al1 0.000 0.500 0.000
Ni1 0.000 0.000 0.500
W1 0.500 0.500 0.500
# DFT formation energy	-0.18	eV/atom
# volume	56	Å³ per cell
# energy above the most stable polymorph in this dataset	106	meV per atom
# uncorrected energy	-27.0	eV per cell

---

# 12
# Al2NiW (PBE, relaxed)
data_Al2NiW
_chemical_formula_sum 'Al6 Ni3 W3'
_cell_length_a 2.8082
_cell_length_b 2.8082
_cell_length_c 25.6606
_cell_angle_alpha 90.00
_cell_angle_beta 90.00
_cell_angle_gamma 120.00
_space_group_name_H-M_alt 'R 3 m'
_space_group_IT_number 160
_space_group_name_Hall 'R 3 -2"'
loop_
_atom_site_label
_atom_site_fract_x
_atom_site_fract_y
_atom_site_fract_z
Al1 0.0000 0.0000 0.0000
Al2 0.0000 0.0000 0.2429
Ni1 0.0000 0.0000 0.7409
W1 0.0000 0.0000 0.4882
# DFT formation energy	-0.08	eV/atom
# volume	175	Å³ per cell
# energy above the most stable polymorph in this dataset	214	meV per atom
# uncorrected energy	-79.6	eV per cell